No. 1
Compound: Pm2Zn2Cd
Source: Alexandria
Functional: PBE
Structure: optimized geometry

The value obtained for the magnetic moment is 0.00 μB/atom. The relative energy among the computed polymorphs comes out at 4 meV/atom. The calculation puts the energy of formation at -1.59 eV per formula unit. The energy comes out at -29.117 eV/cell.

The structure belongs to space group P4/mbm (No. 127); the cell edges are 7.374, 7.374 and 4.469 Å and the angles 90.00°, 90.00° and 90.00°. The asymmetric unit holds Pm at (0.170, 0.330, 0.000), Zn at (0.126, 0.626, 0.500) and Cd at (0.000, 0.000, 0.500).



No. 2
Compound: Pm11Zn4Cd9
Source: Alexandria
Functional: PBE
Structure: optimized geometry

The value obtained for the magnetic moment is 0.06 μB/atom. The calculation puts the energy of formation at -7.33 eV per formula unit. The energy comes out at -145.846 eV/cell.

The structure belongs to space group Cmmm (No. 65); the cell edges are 14.996, 22.634 and 3.741 Å and the angles 90.00°, 90.00° and 90.00°. The asymmetric unit holds Pm at (0.000, 0.000, 0.000), Pm at (0.000, 0.163, 0.000), Pm at (0.000, 0.364, 0.000), Pm at (0.209, 0.500, 0.000), Pm at (0.243, 0.171, 0.000), Zn at (0.146, 0.403, 0.500), Cd at (0.000, 0.500, 0.500), Cd at (0.105, 0.262, 0.500) and Cd at (0.142, 0.073, 0.500).